Record 1
# SrWBr2

An optimized crystal structure of SrWBr2 (GGA-PBEsol, Alexandria).

Unit cell a=3.5208 b=4.6515 c=6.2018 alpha=90.00 beta=90.00 gamma=90.00
Fractional positions:
Sr1 0.0000 0.0000 0.0000
W1 0.5000 0.0000 0.5000
Br1 0.0000 0.5000 0.5000
Br2 0.5000 0.5000 0.0000

Values from the calculation:
Calculated volume (Å³ per atom): 25.4
Formation energy without anion corrections (eV/atom): 0.32
Magnetization (μB per cell): 3.3
Uncorrected energy (eV for the cell shown): -18.10
Distance to the lowest polymorph of the same formula (eV/f.u.): 1.362



Record 2
# SrY2Br

An optimized crystal structure of SrY2Br (GGA-PBEsol, Alexandria).

Unit cell a=3.6793 b=3.6793 c=31.5992 alpha=90.00 beta=90.00 gamma=120.00
Fractional positions:
Sr1 0.0000 0.0000 0.0000
Sr2 0.3333 0.6667 0.6667
Sr3 0.6667 0.3333 0.3333
Y1 0.0000 0.0000 0.2355
Y2 0.0000 0.0000 0.7645
Y3 0.3333 0.6667 0.4312
Y4 0.3333 0.6667 0.9021
Y5 0.6667 0.3333 0.0979
Y6 0.6667 0.3333 0.5688
Br1 0.0000 0.0000 0.5000
Br2 0.3333 0.6667 0.1667
Br3 0.6667 0.3333 0.8333

Values from the calculation:
Calculated volume (Å³ per atom): 30.9
Formation energy without anion corrections (eV/atom): -0.42
Magnetization (μB per cell): 0.0
Uncorrected energy (eV for the cell shown): -57.10
Distance to the lowest polymorph of the same formula (eV/f.u.): 0.000



Record 3
# SrY3Br

An optimized crystal structure of SrY3Br (GGA-PBEsol, Alexandria).

Unit cell a=5.4763 b=5.4763 c=5.4763 alpha=90.00 beta=90.00 gamma=90.00
Fractional positions:
Sr1 0.0000 0.0000 0.0000
Y1 0.0000 0.5000 0.5000
Y2 0.5000 0.0000 0.5000
Y3 0.5000 0.5000 0.0000
Br1 0.5000 0.5000 0.5000

Values from the calculation:
Calculated volume (Å³ per atom): 32.8
Formation energy without anion corrections (eV/atom): -0.23
Magnetization (μB per cell): 0.0
Uncorrected energy (eV for the cell shown): -25.31
Distance to the lowest polymorph of the same formula (eV/f.u.): 0.000



Record 4
# SrY2Br

An optimized crystal structure of SrY2Br (GGA-PBEsol, Alexandria).

Unit cell a=4.4736 b=4.4736 c=13.8534 alpha=90.00 beta=90.00 gamma=90.00
Fractional positions:
Sr1 0.0000 0.0000 0.0000
Sr2 0.5000 0.5000 0.5000
Y1 0.0000 0.5000 0.2500
Y2 0.0000 0.5000 0.7500
Y3 0.5000 0.0000 0.2500
Y4 0.5000 0.0000 0.7500
Br1 0.0000 0.0000 0.5000
Br2 0.5000 0.5000 0.0000

Values from the calculation:
Calculated volume (Å³ per atom): 34.7
Formation energy without anion corrections (eV/atom): -0.16
Magnetization (μB per cell): 0.0
Uncorrected energy (eV for the cell shown): -35.98
Distance to the lowest polymorph of the same formula (eV/f.u.): 1.042



Question: Which value of formation energy without anion corrections does entry 3 give?
Answer: -0.23 eV/atom